Computed, not measured: a relaxed structure of BaSrFeBiO6 at the GGA+U level of DFT.

Structure (POSCAR):
```
BaSrFeBiO6
1.0
-5.0962 -2.8601 0.5771
-2.5711 -0.3849 5.2656
-4.9380 2.9884 1.0818
Fe Sr Bi Ba O
1 1 1 1 6
Cartesian
-6.3027 -0.1283 3.4623 Fe
-3.1513 -0.0641 1.7311 Sr
0.0000 0.0000 0.0000 Bi
-9.4540 -0.1924 5.1934 Ba
-5.6361 1.3941 2.2995 O
-6.8920 1.2061 4.8715 O
-8.1254 -0.0029 2.5814 O
-6.9693 -1.6507 4.6250 O
-4.4799 -0.2536 4.3431 O
-5.7134 -1.4627 2.0530 O
```

Properties
Total energy   -61.38 eV per formula unit
Volume   143.2 Å³ per cell